No. 1
DFT (PBE) results for a relaxed NpPa2H crystal.

Structure (CIF):
```
data_NpPa2H
_cell_length_a 3.0750
_cell_length_b 3.0750
_cell_length_c 26.6871
_cell_angle_alpha 90.00
_cell_angle_beta 90.00
_cell_angle_gamma 120.00
_symmetry_space_group_name_H-M 'R -3 m'
_symmetry_Int_Tables_number 166
_symmetry_space_group_name_Hall '-R 3 2"'
loop_
_atom_site_label
_atom_site_fract_x
_atom_site_fract_y
_atom_site_fract_z
Np1 0.0000 0.0000 0.0000
Pa1 0.0000 0.0000 0.1069
H1 0.0000 0.0000 0.5000
```

**Energy**: -8.579 eV/atom
**V**: 72.8 Å³/f.u.
**Magnetization**: 2.9 μB per formula unit

No. 2
DFT (PBE) results for a relaxed Dy4MgHg7 crystal.

Structure (CIF):
```
data_Dy4MgHg7
_cell_length_a 12.9591
_cell_length_b 5.3149
_cell_length_c 10.7342
_cell_angle_alpha 90.00
_cell_angle_beta 120.94
_cell_angle_gamma 90.00
_symmetry_space_group_name_H-M 'C 1 2/m 1'
_symmetry_Int_Tables_number 12
loop_
_symmetry_equiv_pos_as_xyz
'x,y,z'
'-x,-y,-z'
'-x,y,-z'
'x,-y,z'
'x+1/2,y+1/2,z'
'-x+1/2,-y+1/2,-z'
'-x+1/2,y+1/2,-z'
'x+1/2,-y+1/2,z'
loop_
_atom_site_label
_atom_site_fract_x
_atom_site_fract_y
_atom_site_fract_z
Dy1 0.0789 0.0000 0.2769
Dy2 0.2351 0.0000 0.8162
Mg1 0.0000 0.5000 0.5000
Hg1 0.0000 0.0000 0.5000
Hg2 0.0770 0.5000 0.8396
Hg3 0.1386 0.0000 0.0351
Hg4 0.1950 0.5000 0.4197
```

**Energy**: -2.147 eV/atom
**V**: 317.0 Å³/f.u.
**Magnetization**: 0.0 μB per formula unit
**Calculated formation energy**: -304 meV per atom

No. 3
DFT (PBE) results for a relaxed Ga4Bi2O9 crystal.

Structure (CIF):
```
data_Ga4Bi2O9
_cell_length_a 8.4737
_cell_length_b 12.0021
_cell_length_c 8.0227
_cell_angle_alpha 90.00
_cell_angle_beta 90.00
_cell_angle_gamma 90.00
_symmetry_space_group_name_H-M 'P n m a'
_symmetry_Int_Tables_number 62
loop_
_symmetry_equiv_pos_as_xyz
'x,y,z'
'-x,-y,-z'
'-x+1/2,-y,z+1/2'
'x+1/2,y,-z+1/2'
'x+1/2,-y+1/2,-z+1/2'
'-x+1/2,y+1/2,z+1/2'
'-x,y+1/2,-z'
'x,-y+1/2,z'
loop_
_atom_site_label
_atom_site_fract_x
_atom_site_fract_y
_atom_site_fract_z
Ga1 0.0006 0.1293 0.0033
Ga2 0.1586 0.7500 0.3517
Ga3 0.1650 0.2500 0.3538
Bi1 0.1757 0.0045 0.6776
O1 0.0151 0.2500 0.5157
O2 0.0629 0.5020 0.1506
O3 0.0877 0.2500 0.1376
O4 0.0912 0.7500 0.1305
O5 0.2082 0.6210 0.8707
O6 0.2133 0.1224 0.8799
```

**Energy**: -5.954 eV/atom
**V**: 204.0 Å³/f.u.
**Magnetization**: 0.0 μB per formula unit
**Uncorrected formation energy**: -1655 meV/atom

No. 4
DFT (PBE) results for a relaxed YGa3Sn crystal.

Structure (CIF):
```
data_YGa3Sn
_cell_length_a 5.2157
_cell_length_b 5.2157
_cell_length_c 5.2157
_cell_angle_alpha 90.00
_cell_angle_beta 90.00
_cell_angle_gamma 90.00
_symmetry_space_group_name_H-M 'P m -3 m'
_symmetry_Int_Tables_number 221
_symmetry_space_group_name_Hall '-P 4 2 3'
loop_
_atom_site_label
_atom_site_fract_x
_atom_site_fract_y
_atom_site_fract_z
Y1 0.0000 0.0000 0.0000
Ga1 0.0000 0.5000 0.5000
Sn1 0.5000 0.5000 0.5000
```

**Energy**: -3.526 eV/atom
**V**: 141.9 Å³/f.u.
**Magnetization**: 0.0 μB per formula unit
**Calculated formation energy**: 384 meV per atom

No. 5
DFT (PBE) results for a relaxed LaVCo2 crystal.

Structure (CIF):
```
data_LaVCo2
_cell_length_a 6.4181
_cell_length_b 6.4181
_cell_length_c 6.4181
_cell_angle_alpha 90.00
_cell_angle_beta 90.00
_cell_angle_gamma 90.00
_symmetry_space_group_name_H-M 'F m -3 m'
_symmetry_Int_Tables_number 225
_symmetry_space_group_name_Hall '-F 4 2 3'
loop_
_atom_site_label
_atom_site_fract_x
_atom_site_fract_y
_atom_site_fract_z
La1 0.0000 0.0000 0.0000
V1 0.0000 0.0000 0.5000
Co1 0.2500 0.2500 0.2500
```

**Energy**: -6.703 eV/atom
**V**: 66.1 Å³/f.u.
**Magnetization**: 2.4 μB per formula unit
**Calculated formation energy**: 362 meV per atom

No. 6
DFT (PBE) results for a relaxed La2GeBr crystal.

Structure (CIF):
```
data_La2GeBr
_cell_length_a 7.5618
_cell_length_b 7.5618
_cell_length_c 7.5618
_cell_angle_alpha 90.00
_cell_angle_beta 90.00
_cell_angle_gamma 90.00
_symmetry_space_group_name_H-M 'F m -3 m'
_symmetry_Int_Tables_number 225
_symmetry_space_group_name_Hall '-F 4 2 3'
loop_
_atom_site_label
_atom_site_fract_x
_atom_site_fract_y
_atom_site_fract_z
La1 0.2500 0.2500 0.2500
Ge1 0.0000 0.0000 0.0000
Br1 0.0000 0.0000 0.5000
```

**Energy**: -5.073 eV/atom
**V**: 108.1 Å³/f.u.
**Magnetization**: 0.0 μB per formula unit
**Uncorrected formation energy**: -1037 meV/atom

No. 7
DFT (PBE) results for a relaxed Pm2NdMgHg4 crystal.

Structure (CIF):
```
data_Pm2NdMgHg4
_cell_length_a 5.2307
_cell_length_b 5.2307
_cell_length_c 26.7815
_cell_angle_alpha 90.00
_cell_angle_beta 90.00
_cell_angle_gamma 120.00
_symmetry_space_group_name_H-M 'R -3 m'
_symmetry_Int_Tables_number 166
_symmetry_space_group_name_Hall '-R 3 2"'
loop_
_atom_site_label
_atom_site_fract_x
_atom_site_fract_y
_atom_site_fract_z
Pm1 0.0000 0.0000 0.2428
Nd1 0.0000 0.0000 0.0000
Mg1 0.0000 0.0000 0.5000
Hg1 0.0000 0.0000 0.1254
Hg2 0.0000 0.0000 0.3763
```

**Energy**: -2.589 eV/atom
**V**: 211.5 Å³/f.u.
**Magnetization**: 0.0 μB per formula unit
**Calculated formation energy**: -455 meV per atom

No. 8
DFT (PBE) results for a relaxed Nd2GaBr crystal.

Structure (CIF):
```
data_Nd2GaBr
_cell_length_a 3.8528
_cell_length_b 3.8528
_cell_length_c 26.1154
_cell_angle_alpha 90.00
_cell_angle_beta 90.00
_cell_angle_gamma 120.00
_symmetry_space_group_name_H-M 'R 3 m'
_symmetry_Int_Tables_number 160
_symmetry_space_group_name_Hall 'R 3 -2"'
loop_
_atom_site_label
_atom_site_fract_x
_atom_site_fract_y
_atom_site_fract_z
Nd1 0.0000 0.0000 0.0000
Nd2 0.0000 0.0000 0.1767
Ga1 0.0000 0.0000 0.5882
Br1 0.0000 0.0000 0.7561
```

**Energy**: -4.423 eV/atom
**V**: 111.9 Å³/f.u.
**Magnetization**: 0.0 μB per formula unit
**Uncorrected formation energy**: -864 meV/atom

No. 9
DFT (PBE) results for a relaxed Rh5C7 crystal.

Structure (CIF):
```
data_Rh5C7
_cell_length_a 7.9867
_cell_length_b 7.9867
_cell_length_c 4.3843
_cell_angle_alpha 90.00
_cell_angle_beta 90.00
_cell_angle_gamma 90.00
_symmetry_space_group_name_H-M 'I 4 m m'
_symmetry_Int_Tables_number 107
_symmetry_space_group_name_Hall 'I 4 -2'
loop_
_atom_site_label
_atom_site_fract_x
_atom_site_fract_y
_atom_site_fract_z
Rh1 0.0000 0.0000 0.0000
Rh2 0.1707 0.1707 0.5358
C1 0.0000 0.0000 0.4341
C2 0.0000 0.3692 0.5478
C3 0.0000 0.5000 0.2968
```

**Energy**: -7.634 eV/atom
**V**: 139.8 Å³/f.u.
**Magnetization**: 0.0 μB per formula unit
**Calculated formation energy**: 809 meV per atom

No. 10
DFT (PBE) results for a relaxed Na2AlTeO6 crystal.

Structure (CIF):
```
data_Na2AlTeO6
_cell_length_a 7.6365
_cell_length_b 7.6365
_cell_length_c 7.6365
_cell_angle_alpha 90.00
_cell_angle_beta 90.00
_cell_angle_gamma 90.00
_symmetry_space_group_name_H-M 'F m -3 m'
_symmetry_Int_Tables_number 225
_symmetry_space_group_name_Hall '-F 4 2 3'
loop_
_atom_site_label
_atom_site_fract_x
_atom_site_fract_y
_atom_site_fract_z
Na1 0.2500 0.2500 0.2500
Al1 0.0000 0.0000 0.0000
Te1 0.0000 0.0000 0.5000
O1 0.0000 0.0000 0.2488
```

**Energy**: -5.533 eV/atom
**V**: 111.3 Å³/f.u.
**Magnetization**: 0.0 μB per formula unit
**Uncorrected formation energy**: -1606 meV/atom

No. 11
DFT (PBE) results for a relaxed V2CrGe crystal.

Structure (CIF):
```
data_V2CrGe
_cell_length_a 2.6615
_cell_length_b 5.1014
_cell_length_c 8.1251
_cell_angle_alpha 90.00
_cell_angle_beta 99.23
_cell_angle_gamma 90.00
_symmetry_space_group_name_H-M 'C 1 2 1'
_symmetry_Int_Tables_number 5
loop_
_symmetry_equiv_pos_as_xyz
'x,y,z'
'-x,y,-z'
'x+1/2,y+1/2,z'
'-x+1/2,y+1/2,-z'
loop_
_atom_site_label
_atom_site_fract_x
_atom_site_fract_y
_atom_site_fract_z
V1 0.1313 0.0000 0.2599
Cr1 0.0000 0.2530 0.5000
Ge1 0.0000 0.6779 0.0000
```

**Energy**: -8.122 eV/atom
**V**: 54.4 Å³/f.u.
**Magnetization**: 0.0 μB per formula unit
**Calculated formation energy**: -2 meV per atom

No. 12
DFT (PBE) results for a relaxed Ce2UP3 crystal.

Structure (CIF):
```
data_Ce2UP3
_cell_length_a 4.0359
_cell_length_b 4.0359
_cell_length_c 17.1274
_cell_angle_alpha 90.00
_cell_angle_beta 90.00
_cell_angle_gamma 90.00
_symmetry_space_group_name_H-M 'I 4/m m m'
_symmetry_Int_Tables_number 139
_symmetry_space_group_name_Hall '-I 4 2'
loop_
_atom_site_label
_atom_site_fract_x
_atom_site_fract_y
_atom_site_fract_z
Ce1 0.0000 0.0000 0.1668
U1 0.0000 0.0000 0.5000
P1 0.0000 0.0000 0.0000
P2 0.0000 0.0000 0.3364
```

**Energy**: -7.866 eV/atom
**V**: 139.5 Å³/f.u.
**Magnetization**: 3.2 μB per formula unit
**Calculated formation energy**: -1301 meV per atom